Entry from Alexandria: crystalline Hf2Cd2Cl at its relaxed geometry (PBE-GGA).

Values from the calculation:
**N(E_F)**: 0.4252 states/eV per atom
**Formation energy (no corrections)**: -19 kJ per mole of atoms
**E**: -4.910 eV per atom

Lattice parameters (Å, degrees): 6.709 6.709 4.813 90.00 90.00 90.00
Space group P4/mbm (No. 127)
Unique sites:
Hf1 0.158 0.342 0.000 x4
Cd1 0.152 0.652 0.500 x4
Cl1 0.000 0.000 0.000 x2